## Pm3Ga2Cu4 (PBE)

Data for crystalline Pm3Ga2Cu4 at its relaxed geometry.

Unit cell a=4.385 b=5.758 c=8.376 alpha=110.16 beta=90.00 gamma=112.38
Sites, in units of the cell vectors:
Ga  0.357  0.714  0.691
Ga  0.643  0.286  0.309
Pm  0.000  0.000  0.000
Pm  0.353  0.705  0.316
Pm  0.647  0.295  0.684
Cu  0.915  0.831  0.585
Cu  0.723  0.445  0.059
Cu  0.277  0.555  0.941
Cu  0.085  0.169  0.415

DFT formation energy, eV/atom: -0.368
Symmetry: C2/m (12)
D(E_F), states/eV/cell: 7.8